This record from the Alexandria database describes MnSbOsO after structural relaxation. The functional is PBE with a Hubbard U.

Values from the calculation:
The calculation puts the spin magnetization at 7.9 μB/cell. As for the space group: Cm (8). As for the volume: 16.71 A^3/atom. The value obtained for the energy above the most stable polymorph in this dataset is 0.41 eV per formula unit. The calculation puts the total energy at -7.133 eV per atom.

The structure in POSCAR format:
```
MnSbOsO
1.0
-7.699 -2.078 0.094
0.679 -2.586 -1.593
0.814 -2.637 4.627
Mn Sb Os O
2 2 2 2
Cartesian
-5.265 -3.494 0.389
-5.197 -3.519 3.499
-1.602 -2.527 0.380
-1.535 -2.553 3.490
0.139 -1.140 1.910
0.885 -3.752 3.427
-4.176 -4.149 1.916
-4.923 -1.538 0.399
```